Record 1
Entry from the Alexandria database: a geometry-optimized KUHgCl6 structure (GGA-PBE).

Unit cell a=7.8377 b=7.8377 c=15.1085 alpha=90.00 beta=90.00 gamma=120.00
Space group P-31c (No. 163)
Inequivalent atoms, fractional coordinates:
K 0.3333 0.6667 0.2500
U 0.3333 0.6667 0.7500
Hg 0.0000 0.0000 0.0000
Cl 0.0646 0.4047 0.6533

Calculated values
mass density = 2.85 g cm⁻³
formation energy without anion corrections = -1.556 eV per atom
E_tot = -4.1971 eV per atom

=====

Record 2
Entry from the Alexandria database: a geometry-optimized K2UHgCl6 structure (GGA-PBE).

Unit cell a=7.832 b=7.845 c=8.652 alpha=90.07 beta=116.90 gamma=119.87
Space group P1 (No. 1)
Inequivalent atoms, fractional coordinates:
K 0.000 0.000 0.000
K 0.054 0.529 0.582
U 0.377 0.189 0.566
Hg 0.401 0.701 0.103
Cl 0.183 0.355 0.349
Cl 0.216 0.230 0.765
Cl 0.521 0.166 0.350
Cl 0.536 0.990 0.766
Cl 0.775 0.549 0.764
Cl 0.994 0.830 0.349

Calculated values
D(E_F) = 0.62 states/eV per atom
mass density = 3.08 g cm⁻³
formation energy without anion corrections = -1.671 eV per atom
E_tot = -4.1570 eV per atom

=====

Record 3
Entry from the Alexandria database: a geometry-optimized KVHgCl6 structure (GGA-PBE).

Unit cell a=7.4678 b=7.4678 c=6.1065 alpha=90.00 beta=90.00 gamma=120.00
Space group P312 (No. 149)
Inequivalent atoms, fractional coordinates:
K 0.0000 0.0000 0.0000
V 0.3333 0.6667 0.0000
Hg 0.6667 0.3333 0.5000
Cl 0.0884 0.4129 0.2201

Calculated values
D(E_F) = 0.27 states/eV per atom
mass density = 2.83 g cm⁻³
formation energy without anion corrections = -1.067 eV per atom
E_tot = -3.4671 eV per atom

=====

Record 4
Entry from the Alexandria database: a geometry-optimized KV2HgCl8 structure (GGA-PBE).

Unit cell a=7.0231 b=7.0231 c=31.3390 alpha=90.00 beta=90.00 gamma=120.00
Space group R-3 (No. 148, hexagonal axes)
Inequivalent atoms, fractional coordinates:
K 0.0000 0.0000 0.0000
V 0.0000 0.0000 0.2503
Hg 0.0000 0.0000 0.5000
Cl 0.0000 0.0000 0.1815
Cl 0.0236 0.3912 0.9412

Calculated values
D(E_F) = 1.21 states/eV per atom
mass density = 2.33 g cm⁻³
formation energy without anion corrections = -1.192 eV per atom
E_tot = -4.0592 eV per atom

=====

Number 1: V 44.65 Å³/atom. Number 2: V 39.31 Å³/atom. Number 3: V 32.77 Å³/atom. Number 4: V 37.18 Å³/atom.